Density functional theory data (GGA-PBE) for a relaxed ZrAl2Ni4 crystal.

The structure belongs to space group P-3m1 (No. 164); the cell edges are 2.7854, 2.7854 and 14.8393 Å and the angles 90.00°, 90.00° and 120.00°. The asymmetric unit holds Zr at (0.0000, 0.0000, 0.0000), Al at (0.3333, 0.6667, 0.6879), Ni at (0.3333, 0.6667, 0.4346) and Ni at (0.3333, 0.6667, 0.8478).

The total DFT energy (no corrections) comes out at -5.555 eV per atom. The value obtained for the energy of formation from the pure elements is 0.039 eV per atom. As for the density of states at the Fermi level: 8.7 states/eV/f.u.

Density functional theory data (GGA-PBE) for a relaxed ZrAlNi2 crystal.

The structure belongs to space group P-3m1 (No. 164); the cell edges are 4.0342, 4.0342 and 8.6519 Å and the angles 90.00°, 90.00° and 120.00°. The asymmetric unit holds Zr at (0.3333, 0.6667, 0.3752), Al at (0.0000, 0.0000, 0.1528), Ni at (0.3333, 0.6667, 0.0603) and Ni at (0.3333, 0.6667, 0.7604).

The total DFT energy (no corrections) comes out at -6.344 eV per atom. The value obtained for the energy of formation from the pure elements is -0.381 eV per atom. As for the density of states at the Fermi level: 3.0 states/eV/f.u.

Density functional theory data (GGA-PBE) for a relaxed Zr2Al3Ni crystal.

The structure belongs to space group P-3m1 (No. 164); the cell edges are 8.6518, 8.6518 and 3.2201 Å and the angles 90.00°, 90.00° and 120.00°. The asymmetric unit holds Zr at (0.0000, 0.0000, 0.0000), Zr at (0.0000, 0.5000, 0.0000), Al at (0.1726, 0.3452, 0.4999) and Ni at (0.3333, 0.6667, 0.5022).

The total DFT energy (no corrections) comes out at -6.190 eV per atom. The value obtained for the energy of formation from the pure elements is -0.506 eV per atom. As for the density of states at the Fermi level: 3.1 states/eV/f.u.

Look up the energy of formation from the pure elements of the third one. -0.506 eV per atom